Entry P
VASP calculation (PBE) on an optimized crystal structure of MnCu2Re.

```
data_MnCu2Re
_symmetry_space_group_name_H-M 'F m -3 m'
_symmetry_Int_Tables_number 225
_symmetry_space_group_name_Hall '-F 4 2 3'
_cell_length_a 5.839
_cell_length_b 5.839
_cell_length_c 5.839
_cell_angle_alpha 90.00
_cell_angle_beta 90.00
_cell_angle_gamma 90.00
loop_
_atom_site_label
_atom_site_type_symbol
_atom_site_fract_x
_atom_site_fract_y
_atom_site_fract_z
Mn1 Mn 0.000 0.000 0.000
Cu1 Cu 0.250 0.250 0.250
Re1 Re 0.000 0.000 0.500
```

=====

Entry Q
VASP calculation (PBE) on an optimized crystal structure of MnCu2Re.

```
data_MnCu2Re
_symmetry_space_group_name_H-M 'R -3 m'
_symmetry_Int_Tables_number 166
_symmetry_space_group_name_Hall '-R 3 2"'
_cell_length_a 2.6806
_cell_length_b 2.6806
_cell_length_c 25.8567
_cell_angle_alpha 90.00
_cell_angle_beta 90.00
_cell_angle_gamma 120.00
loop_
_atom_site_label
_atom_site_type_symbol
_atom_site_fract_x
_atom_site_fract_y
_atom_site_fract_z
Mn1 Mn 0.0000 0.0000 0.0000
Cu1 Cu 0.0000 0.0000 0.2519
Re1 Re 0.0000 0.0000 0.5000
```

=====

Most stable structure - entry Q; separation to the second - 0.256 eV/atom.

=====

Entry P
VASP calculation (PBE) on an optimized crystal structure of LaSc2Fe.

```
data_LaSc2Fe
_symmetry_space_group_name_H-M 'C m m m'
_symmetry_Int_Tables_number 65
_symmetry_space_group_name_Hall '-C 2 2'
_cell_length_a 6.397
_cell_length_b 7.620
_cell_length_c 3.717
_cell_angle_alpha 90.00
_cell_angle_beta 90.00
_cell_angle_gamma 90.00
loop_
_atom_site_label
_atom_site_type_symbol
_atom_site_fract_x
_atom_site_fract_y
_atom_site_fract_z
La1 La 0.000 0.000 0.000
Sc1 Sc 0.250 0.250 0.500
Fe1 Fe 0.000 0.500 0.000
```

=====

Entry Q
VASP calculation (PBE) on an optimized crystal structure of LaSc2Fe.

```
data_LaSc2Fe
_symmetry_space_group_name_H-M 'I 4/m m m'
_symmetry_Int_Tables_number 139
_symmetry_space_group_name_Hall '-I 4 2'
_cell_length_a 4.277
_cell_length_b 4.277
_cell_length_c 9.933
_cell_angle_alpha 90.00
_cell_angle_beta 90.00
_cell_angle_gamma 90.00
loop_
_atom_site_label
_atom_site_type_symbol
_atom_site_fract_x
_atom_site_fract_y
_atom_site_fract_z
La1 La 0.000 0.000 0.000
Sc1 Sc 0.000 0.500 0.250
Fe1 Fe 0.000 0.000 0.500
```

=====

Most stable structure - entry Q; separation to the second - 0.037 eV/atom.

=====

Entry P
VASP calculation (PBE) on an optimized crystal structure of Sc5Te.

```
data_Sc5Te
_symmetry_space_group_name_H-M 'P -6 2 m'
_symmetry_Int_Tables_number 189
_symmetry_space_group_name_Hall 'P -6 -2'
_cell_length_a 5.6570
_cell_length_b 5.6570
_cell_length_c 5.0443
_cell_angle_alpha 90.00
_cell_angle_beta 90.00
_cell_angle_gamma 120.00
loop_
_atom_site_label
_atom_site_type_symbol
_atom_site_fract_x
_atom_site_fract_y
_atom_site_fract_z
Sc1 Sc 0.0000 0.6827 0.0000
Sc2 Sc 0.3333 0.6667 0.5000
Te1 Te 0.0000 0.0000 0.5000
```

=====

Entry Q
VASP calculation (PBE) on an optimized crystal structure of Sc5Te.

```
data_Sc5Te
_symmetry_space_group_name_H-M 'C 1 m 1'
_symmetry_Int_Tables_number 8
_cell_length_a 11.379
_cell_length_b 3.565
_cell_length_c 7.359
_cell_angle_alpha 90.00
_cell_angle_beta 105.54
_cell_angle_gamma 90.00
loop_
_symmetry_equiv_pos_as_xyz
'x,y,z'
'x,-y,z'
'x+1/2,y+1/2,z'
'x+1/2,-y+1/2,z'
loop_
_atom_site_label
_atom_site_type_symbol
_atom_site_fract_x
_atom_site_fract_y
_atom_site_fract_z
Sc1 Sc 0.000 0.000 0.000
Sc2 Sc 0.021 0.000 0.587
Sc3 Sc 0.139 0.500 0.332
Sc4 Sc 0.314 0.000 0.677
Sc5 Sc 0.356 0.000 0.249
Te1 Te 0.200 0.500 0.930
```

=====

Most stable structure - entry Q; separation to the second - 0.015 eV/atom.

=====

Entry P
VASP calculation (PBE) on an optimized crystal structure of Re2RuAu.

```
data_Re2RuAu
_symmetry_space_group_name_H-M 'I -4 2 d'
_symmetry_Int_Tables_number 122
_symmetry_space_group_name_Hall 'I -4 2bw'
_cell_length_a 7.225
_cell_length_b 7.225
_cell_length_c 5.289
_cell_angle_alpha 90.00
_cell_angle_beta 90.00
_cell_angle_gamma 90.00
loop_
_atom_site_label
_atom_site_type_symbol
_atom_site_fract_x
_atom_site_fract_y
_atom_site_fract_z
Re1 Re 0.204 0.250 0.125
Ru1 Ru 0.000 0.000 0.000
Au1 Au 0.000 0.000 0.500
```

=====

Entry Q
VASP calculation (PBE) on an optimized crystal structure of Re2RuAu.

```
data_Re2RuAu
_symmetry_space_group_name_H-M 'P 4/m m m'
_symmetry_Int_Tables_number 123
_symmetry_space_group_name_Hall '-P 4 2'
_cell_length_a 3.868
_cell_length_b 3.868
_cell_length_c 4.046
_cell_angle_alpha 90.00
_cell_angle_beta 90.00
_cell_angle_gamma 90.00
loop_
_atom_site_label
_atom_site_type_symbol
_atom_site_fract_x
_atom_site_fract_y
_atom_site_fract_z
Re1 Re 0.000 0.500 0.000
Ru1 Ru 0.000 0.000 0.500
Au1 Au 0.500 0.500 0.500
```

=====

Most stable structure - entry Q; separation to the second - 0.552 eV/atom.